1.
A plane-wave DFT calculation with PBE-GGA was carried out for a geometry-optimized LaTh2ReN5 structure.

abc: 6.847 6.847 7.611
angles: 116.73 116.73 90.00
Sites, in units of the cell vectors:
N 0.506 0.715 0.721
N 0.285 0.785 0.279
N 0.215 0.006 0.721
N 0.006 0.506 0.721
N 0.494 0.285 0.279
N 0.500 0.500 0.000
N 0.994 0.494 0.279
N 0.715 0.215 0.721
N 0.785 0.994 0.279
N 0.000 0.000 0.000
Re 0.250 0.750 0.500
Re 0.750 0.250 0.500
Th 0.322 0.822 0.000
Th 0.822 0.678 0.000
Th 0.678 0.178 0.000
Th 0.178 0.322 0.000
La 0.750 0.750 0.500
La 0.250 0.250 0.500

* space-group type: I4/mcm, No. 140
* formation energy from raw total energies: -1.15 eV per atom



2.
A plane-wave DFT calculation with PBE-GGA was carried out for a geometry-optimized Ac2ZrTl2S6 structure.

abc: 7.276 7.276 7.813
angles: 98.87 98.87 119.08
Sites, in units of the cell vectors:
Tl 0.165 0.835 0.000
Tl 0.835 0.165 0.000
S 0.224 0.224 0.296
S 0.776 0.776 0.704
S 0.363 0.064 0.696
S 0.637 0.936 0.304
S 0.936 0.637 0.304
S 0.064 0.363 0.696
Ac 0.334 0.666 0.500
Ac 0.666 0.334 0.500
Zr 0.000 0.000 0.500

* space-group type: C2/m, No. 12
* formation energy from raw total energies: -1.49 eV per atom



3.
A plane-wave DFT calculation with PBE-GGA was carried out for a geometry-optimized CoMo2 structure.

abc: 4.368 4.368 2.628
angles: 90.00 90.00 120.00
Each line ends with the local moment (μB).
Sites, in units of the cell vectors:
Co 0.000 0.000 0.000  1.62
Mo 0.667 0.333 0.659  0.23
Mo 0.333 0.667 0.341  0.23

* formation energy: 0.589 eV/f.u.
* space-group type: P-3m1, No. 164



4.
A plane-wave DFT calculation with PBE-GGA was carried out for a geometry-optimized Cs5TmO4 structure.

abc: 3.761 8.014 9.904
angles: 101.49 100.95 90.00
Sites, in units of the cell vectors:
O 0.381 0.943 0.763
O 0.999 0.809 0.999
O 0.619 0.057 0.237
O 0.001 0.191 0.001
Cs 0.147 0.303 0.293
Cs 0.148 0.839 0.296
Cs 0.500 0.500 0.000
Cs 0.853 0.697 0.707
Cs 0.852 0.161 0.704
Tm 0.500 0.000 0.000

* space-group type: C2/m, No. 12
* ΔE to the lowest computed polymorph: 0.067 eV/atom
* formation energy from raw total energies: -1.58 eV per atom



5.
A plane-wave DFT calculation with PBE-GGA was carried out for a geometry-optimized Mn2CuHPt structure.

abc: 4.797 2.970 4.797
angles: 90.00 90.00 90.00
Each line ends with the local moment (μB).
Sites, in units of the cell vectors:
Cu 0.000 0.000 0.000  0.09
Mn 0.000 0.000 0.500  3.86
Mn 0.500 0.000 0.000  3.87
H 0.000 0.500 0.000  0.02
Pt 0.500 0.500 0.500  0.25

* space-group type: P4/mmm, No. 123
* ΔE to the lowest computed polymorph: 0.493 eV/atom



6.
A plane-wave DFT calculation with PBE-GGA was carried out for a geometry-optimized InNiRh2 structure.

abc: 4.403 4.403 4.403
angles: 60.00 60.00 60.00
Each line ends with the local moment (μB).
Sites, in units of the cell vectors:
Ni 0.750 0.750 0.750  0.10
Rh 0.000 0.000 0.000  0.46
Rh 0.250 0.250 0.250  0.39
In 0.500 0.500 0.500  -0.01

* formation energy: 0.026 eV/f.u.
* space-group type: F-43m, No. 216



7.
A plane-wave DFT calculation with PBE-GGA was carried out for a geometry-optimized Sr8CdAg2 structure.

abc: 6.595 8.965 8.965
angles: 112.01 98.99 98.99
Sites, in units of the cell vectors:
Sr 0.988 0.232 0.772
Sr 0.179 0.373 0.373
Sr 0.988 0.772 0.232
Sr 0.393 0.931 0.671
Sr 0.578 0.076 0.334
Sr 0.393 0.671 0.931
Sr 0.578 0.334 0.076
Sr 0.803 0.633 0.633
Cd 0.118 0.004 0.004
Ag 0.491 0.692 0.316
Ag 0.491 0.316 0.692

* formation energy: -1.386 eV/f.u.
* space-group type: Cm, No. 8



8.
A plane-wave DFT calculation with PBE-GGA was carried out for a geometry-optimized ZnBSb2Te structure.

abc: 4.892 4.892 4.841
angles: 90.00 90.00 90.00
Sites, in units of the cell vectors:
Sb 0.500 0.000 0.000
Sb 0.000 0.500 0.000
B 0.000 0.000 0.000
Zn 0.500 0.500 0.500
Te 0.000 0.000 0.500

* space-group type: P4/mmm, No. 123
* ΔE to the lowest computed polymorph: 0.000 eV/atom
* formation energy from raw total energies: 0.75 eV per atom



9.
A plane-wave DFT calculation with PBE-GGA was carried out for a geometry-optimized VZn2Mo structure.

abc: 4.347 4.347 4.347
angles: 60.00 60.00 60.00
Each line ends with the local moment (μB).
Sites, in units of the cell vectors:
Mo 0.500 0.500 0.500  -0.81
Zn 0.250 0.250 0.250  -0.01
Zn 0.750 0.750 0.750  -0.01
V 0.000 0.000 0.000  1.18

* formation energy: 1.120 eV/f.u.
* space-group type: Fm-3m, No. 225
* ΔE to the lowest computed polymorph: 0.000 eV/atom



10.
A plane-wave DFT calculation with PBE-GGA was carried out for a geometry-optimized Tb4NiBr5 structure.

abc: 3.962 8.446 10.506
angles: 89.53 100.87 90.00
Sites, in units of the cell vectors:
Tb 0.627 0.997 0.254
Tb 0.000 0.786 0.000
Tb 0.373 0.003 0.746
Tb 0.000 0.214 0.000
Br 0.847 0.760 0.693
Br 0.500 0.500 0.000
Br 0.153 0.754 0.306
Br 0.847 0.246 0.694
Br 0.153 0.240 0.307
Ni 0.500 0.000 0.000

* space-group type: C2/m, No. 12
* ΔE to the lowest computed polymorph: 0.031 eV/atom
* formation energy from raw total energies: -1.33 eV per atom



11.
A plane-wave DFT calculation with PBE-GGA was carried out for a geometry-optimized CsCa4Ag3Br12 structure.

abc: 9.430 9.430 9.430
angles: 109.47 109.47 109.47
Sites, in units of the cell vectors:
Br 0.488 0.311 0.176
Br 0.689 0.824 0.512
Br 0.311 0.824 0.135
Br 0.824 0.135 0.311
Br 0.176 0.488 0.311
Br 0.135 0.311 0.824
Br 0.824 0.512 0.689
Br 0.311 0.176 0.488
Br 0.176 0.865 0.689
Br 0.865 0.689 0.176
Br 0.689 0.176 0.865
Br 0.512 0.689 0.824
Ag 0.500 0.000 0.500
Ag 0.500 0.500 0.000
Ag 0.000 0.500 0.500
Ca 0.000 0.500 0.000
Ca 0.000 0.000 0.500
Ca 0.500 0.500 0.500
Ca 0.500 0.000 0.000
Cs 0.000 0.000 0.000

* space-group type: Im-3, No. 204
* formation energy from raw total energies: -1.48 eV per atom



12.
A plane-wave DFT calculation with PBE-GGA was carried out for a geometry-optimized Ca2ZnIr structure.

abc: 5.382 5.382 5.382
angles: 132.19 132.19 69.92
Sites, in units of the cell vectors:
Ca 0.000 0.000 0.000
Ca 0.250 0.750 0.500
Zn 0.750 0.250 0.500
Ir 0.500 0.500 0.000

* formation energy: -0.506 eV/f.u.
* space-group type: I-4m2, No. 119



13.
A plane-wave DFT calculation with PBE-GGA was carried out for a geometry-optimized TeAs2H structure.

abc: 4.761 4.761 4.761
angles: 60.00 60.00 60.00
Sites, in units of the cell vectors:
As 0.750 0.750 0.750
As 0.250 0.250 0.250
Te 0.500 0.500 0.500
H 0.000 0.000 0.000

* space-group type: Fm-3m, No. 225
* ΔE to the lowest computed polymorph: 0.230 eV/atom



14.
A plane-wave DFT calculation with PBE-GGA was carried out for a geometry-optimized HfU5As6 structure.

abc: 6.853 6.853 7.216
angles: 99.14 99.14 120.00
Each line ends with the local moment (μB).
Sites, in units of the cell vectors:
As 0.080 0.405 0.242  0.01
As 0.405 0.080 0.242  0.01
As 0.758 0.758 0.246  0.01
As 0.595 0.920 0.758  0.01
As 0.242 0.242 0.754  0.01
As 0.920 0.595 0.758  0.01
U 0.170 0.830 0.500  -2.18
U 0.500 0.500 0.500  -2.18
U 0.335 0.665 0.000  2.05
U 0.665 0.335 0.000  2.05
U 0.830 0.170 0.500  -2.18
Hf 0.000 0.000 0.000  0.08

* formation energy: -9.168 eV/f.u.
* space-group type: C2/m, No. 12



15.
A plane-wave DFT calculation with PBE-GGA was carried out for a geometry-optimized MoOs3 structure.

abc: 2.741 9.184 2.741
angles: 98.58 60.00 98.58
Sites, in units of the cell vectors:
Mo 0.000 0.000 0.000
Os 0.500 0.500 0.500
Os 0.248 0.745 0.248
Os 0.752 0.255 0.752

* formation energy: 0.608 eV/f.u.
* space-group type: R-3m, No. 166



16.
A plane-wave DFT calculation with PBE-GGA was carried out for a geometry-optimized PuCdTcRu structure.

abc: 4.654 4.654 4.654
angles: 60.00 60.00 60.00
Each line ends with the local moment (μB).
Sites, in units of the cell vectors:
Cd 0.500 0.500 0.500  0.01
Pu 0.000 0.000 0.000  4.64
Ru 0.250 0.250 0.250  -0.56
Tc 0.750 0.750 0.750  -0.89

* formation energy: 0.500 eV/f.u.
* space-group type: F-43m, No. 216



17.
A plane-wave DFT calculation with PBE-GGA was carried out for a geometry-optimized LiMn2Br structure.

abc: 3.574 3.574 5.499
angles: 90.00 90.00 90.00
Each line ends with the local moment (μB).
Sites, in units of the cell vectors:
Br 0.500 0.500 0.250  0.09
Mn 0.000 0.000 0.985  3.83
Mn 0.000 0.000 0.515  3.83
Li 0.500 0.500 0.750  -0.05

* space-group type: P4/mmm, No. 123
* ΔE to the lowest computed polymorph: 0.279 eV/atom
* formation energy from raw total energies: 0.33 eV per atom



18.
A plane-wave DFT calculation with PBE-GGA was carried out for a geometry-optimized PaAl4Au2 structure.

abc: 4.397 6.772 17.513
angles: 90.00 90.00 90.00
Each line ends with the local moment (μB).
Sites, in units of the cell vectors:
Al 0.250 0.487 0.430  0.00
Al 0.250 0.273 0.691  0.01
Al 0.750 0.319 0.314  0.01
Al 0.750 0.727 0.309  0.01
Al 0.250 0.172 0.537  0.01
Al 0.250 0.819 0.186  0.01
Al 0.250 0.681 0.686  0.01
Al 0.250 0.328 0.037  0.01
Al 0.250 0.227 0.191  0.01
Al 0.750 0.181 0.814  0.01
Al 0.750 0.672 0.963  0.01
Al 0.750 0.513 0.570  0.00
Al 0.250 0.013 0.930  0.00
Al 0.750 0.987 0.070  0.00
Al 0.750 0.773 0.809  0.01
Al 0.750 0.828 0.463  0.01
Au 0.250 0.744 0.037  0.01
Au 0.750 0.244 0.463  0.01
Au 0.250 0.756 0.537  0.01
Au 0.250 0.528 0.284  0.01
Au 0.750 0.472 0.716  0.01
Au 0.250 0.972 0.784  0.01
Au 0.750 0.256 0.963  0.01
Au 0.750 0.028 0.216  0.01
Pa 0.250 0.008 0.365  0.86
Pa 0.250 0.492 0.865  0.86
Pa 0.750 0.992 0.635  0.86
Pa 0.750 0.508 0.135  0.86

* formation energy: -2.771 eV/f.u.
* space-group type: Pnma, No. 62



19.
A plane-wave DFT calculation with PBE-GGA was carried out for a geometry-optimized PmDyTcNi structure.

abc: 4.866 4.866 4.866
angles: 60.00 60.00 60.00
Sites, in units of the cell vectors:
Dy 0.000 0.000 0.000
Pm 0.500 0.500 0.500
Tc 0.250 0.250 0.250
Ni 0.750 0.750 0.750

* formation energy: -0.125 eV/f.u.
* space-group type: F-43m, No. 216



20.
A plane-wave DFT calculation with PBE-GGA was carried out for a geometry-optimized YIrBr structure.

abc: 3.585 3.585 6.829
angles: 90.00 90.00 120.00
Sites, in units of the cell vectors:
Br 0.000 0.000 0.957
Y 0.333 0.667 0.655
Ir 0.667 0.333 0.388

* space-group type: P3m1, No. 156
* ΔE to the lowest computed polymorph: 0.828 eV/atom
* formation energy from raw total energies: -0.42 eV per atom



21.
A plane-wave DFT calculation with PBE-GGA was carried out for a geometry-optimized HfCd2Pt9 structure.

abc: 4.030 4.030 12.157
angles: 90.00 90.00 90.00
Sites, in units of the cell vectors:
Hf 0.000 0.000 0.000
Cd 0.000 0.000 0.666
Cd 0.000 0.000 0.334
Pt 0.500 0.500 0.670
Pt 0.000 0.500 0.162
Pt 0.500 0.000 0.500
Pt 0.000 0.500 0.838
Pt 0.500 0.500 0.330
Pt 0.000 0.500 0.500
Pt 0.500 0.000 0.162
Pt 0.500 0.500 0.000
Pt 0.500 0.000 0.838

* formation energy: -6.207 eV/f.u.
* space-group type: P4/mmm, No. 123



22.
A plane-wave DFT calculation with PBE-GGA was carried out for a geometry-optimized LiCr2Tc structure.

abc: 4.843 4.843 4.843
angles: 145.34 128.25 63.79
Sites, in units of the cell vectors:
Cr 0.769 0.269 0.500
Cr 0.989 0.989 0.000
Li 0.505 0.505 0.000
Tc 0.237 0.737 0.500

* formation energy: 1.251 eV/f.u.
* space-group type: Imm2, No. 44



23.
A plane-wave DFT calculation with PBE-GGA was carried out for a geometry-optimized Tb12HoC7 structure.

abc: 8.163 8.163 8.163
angles: 107.74 107.74 107.74
Sites, in units of the cell vectors:
Tb 0.787 0.931 0.308
Tb 0.558 0.841 0.626
Tb 0.626 0.558 0.841
Tb 0.442 0.159 0.374
Tb 0.692 0.213 0.069
Tb 0.159 0.374 0.442
Tb 0.931 0.308 0.787
Tb 0.841 0.626 0.558
Tb 0.213 0.069 0.692
Tb 0.374 0.442 0.159
Tb 0.308 0.787 0.931
Tb 0.069 0.692 0.213
C 0.500 0.500 0.500
C 0.353 0.115 0.042
C 0.042 0.353 0.115
C 0.115 0.042 0.353
C 0.647 0.885 0.958
C 0.958 0.647 0.885
C 0.885 0.958 0.647
Ho 0.000 0.000 0.000

* formation energy: -4.303 eV/f.u.
* space-group type: R-3, No. 148



24.
A plane-wave DFT calculation with PBE-GGA was carried out for a geometry-optimized PuGaPb structure.

abc: 4.550 3.404 9.879
angles: 80.08 90.00 90.00
Each line ends with the local moment (μB).
Sites, in units of the cell vectors:
Ga 0.250 0.536 0.928  -0.01
Ga 0.750 0.464 0.072  -0.01
Pb 0.750 0.297 0.405  0.01
Pb 0.250 0.703 0.595  0.01
Pu 0.750 0.100 0.799  5.49
Pu 0.250 0.900 0.201  5.49

* formation energy: -0.500 eV/f.u.
* space-group type: Cmcm, No. 63
* ΔE to the lowest computed polymorph: 0.000 eV/atom



no.,E (eV per cell),total magnetic moment (μB/f.u.),ρ (g/cm3)
1,-168.43,0.00,10.36
2,-62.60,0.00,5.53
3,-28.18,2.09,9.59
4,-44.38,0.07,5.19
5,-29.67,8.47,8.98
6,-23.20,0.95,10.44
7,-21.46,0.00,3.62
8,-15.60,0.00,6.41
9,-21.38,0.41,7.94
10,-45.99,0.00,5.26
11,-67.00,0.00,4.05
12,-14.64,0.00,6.69
13,-12.65,0.00,6.06
14,-103.46,2.60,10.85
15,-43.91,0.00,18.80
16,-34.39,3.29,12.94
17,-20.59,8.11,4.65
18,-135.17,1.05,9.33
19,-25.63,0.00,9.46
20,-18.26,0.00,7.89
21,-72.36,0.00,18.16
22,-30.28,0.00,6.92
23,-129.01,0.00,8.07
24,-43.13,5.90,11.48